(1)
Sr2NbInSn, relaxed, DFT GGA-PBE; total DFT energy (no corrections) = -3.51 eV per atom; ΔH_f (0 K) = 50.6 kJ per mole of atoms; N(E_F) = 5.16 states/eV/cell
1.0
6.056 0.000 0.000
0.000 5.486 0.000
0.000 0.000 6.056
In Nb Sr Sn
1 1 2 1
direct
0.500 0.500 0.500 In
0.000 0.000 0.000 Nb
0.000 0.000 0.500 Sr
0.500 0.000 0.000 Sr
0.000 0.500 0.000 Sn

---

(2)
SrNb3In, relaxed, DFT GGA-PBE; total DFT energy (no corrections) = -5.36 eV per atom; relative energy among the computed polymorphs = 0 meV per atom; ΔH_f (0 K) = 151.4 kJ per mole of atoms; N(E_F) = 6.57 states/eV/cell
1.0
5.217 0.000 0.000
0.000 5.217 0.000
0.000 0.000 5.217
Sr Nb In
1 3 1
direct
0.500 0.500 0.500 Sr
0.000 0.000 0.500 Nb
0.000 0.500 0.000 Nb
0.500 0.000 0.000 Nb
0.000 0.000 0.000 In

---

(3)
Sr2NbIn2, relaxed, DFT GGA-PBE; total DFT energy (no corrections) = -3.24 eV per atom; relative energy among the computed polymorphs = 12 meV per atom; ΔH_f (0 K) = 52.6 kJ per mole of atoms; N(E_F) = 7.56 states/eV/cell
1.0
-6.965 3.320 5.535
-0.163 -8.231 4.732
2.322 1.215 2.193
Nb Sr In
2 4 4
direct
0.000 0.000 0.000 Nb
0.500 0.500 0.000 Nb
0.132 0.368 0.000 Sr
0.368 0.868 0.000 Sr
0.868 0.632 0.000 Sr
0.632 0.132 0.000 Sr
0.668 0.832 0.500 In
0.332 0.168 0.500 In
0.832 0.332 0.500 In
0.168 0.668 0.500 In

---

(4)
Sr2NbIn2, relaxed, DFT GGA-PBE; total DFT energy (no corrections) = -3.25 eV per atom; relative energy among the computed polymorphs = 0 meV per atom; ΔH_f (0 K) = 51.4 kJ per mole of atoms; N(E_F) = 3.93 states/eV/cell
1.0
4.202 0.000 0.000
0.000 4.202 0.000
2.101 2.101 9.880
In Sr Nb
2 2 1
direct
0.750 0.250 0.500 In
0.250 0.750 0.500 In
0.598 0.598 0.805 Sr
0.402 0.402 0.195 Sr
0.000 0.000 0.000 Nb

---

(5)
SrNb3In, relaxed, DFT GGA-PBE; total DFT energy (no corrections) = -4.65 eV per atom; relative energy among the computed polymorphs = 710 meV per atom; ΔH_f (0 K) = 219.9 kJ per mole of atoms; N(E_F) = 6.14 states/eV/cell
1.0
4.916 0.000 0.000
0.000 4.916 0.000
0.000 0.000 4.916
In Nb Sr
1 3 1
direct
0.500 0.500 0.500 In
0.500 0.000 0.000 Nb
0.000 0.500 0.000 Nb
0.000 0.000 0.500 Nb
0.000 0.000 0.000 Sr

---

(6)
SrNb2In, relaxed, DFT GGA-PBE; total DFT energy (no corrections) = -5.13 eV per atom; ΔH_f (0 K) = 97.5 kJ per mole of atoms; N(E_F) = 17.59 states/eV/cell
1.0
-8.355 0.865 -0.146
-0.407 -5.059 -6.694
-4.650 -4.395 -1.667
Sr In Nb
2 2 4
direct
0.250 0.750 0.500 Sr
0.500 0.500 0.000 Sr
0.000 0.000 0.000 In
0.750 0.250 0.500 In
0.875 0.913 0.750 Nb
0.087 0.625 0.250 Nb
0.375 0.337 0.750 Nb
0.663 0.125 0.250 Nb

---

(7)
SrNbInTe2, relaxed, DFT GGA-PBE; total DFT energy (no corrections) = -2.99 eV per atom; formation energy from raw total energies = 1160 meV per atom; N(E_F) = 3.77 states/eV/cell
1.0
-0.123 -2.902 -5.241
1.573 -4.877 2.663
-5.764 -1.371 0.895
Sr In Nb Te
1 1 1 2
direct
0.000 0.000 0.000 Sr
0.000 0.500 0.000 In
0.500 0.500 0.500 Nb
0.000 0.000 0.500 Te
0.500 0.000 0.000 Te

---

(8)
SrTiNb2In, relaxed, DFT GGA-PBE; total DFT energy (no corrections) = -5.12 eV per atom; ΔH_f (0 K) = 132.7 kJ per mole of atoms; N(E_F) = 9.28 states/eV/cell
1.0
5.254 0.000 0.000
0.000 5.138 0.000
0.000 0.000 5.254
Nb In Sr Ti
2 1 1 1
direct
0.000 0.000 0.500 Nb
0.500 0.000 0.000 Nb
0.000 0.000 0.000 In
0.500 0.500 0.500 Sr
0.000 0.500 0.000 Ti

---

> Look up the N(E_F) of the first one.

5.16 states/eV/cell